VASP calculation (GGA-PBE) on crystalline CsCaBr3 at its relaxed geometry.

* energy: -35.18 eV per cell

a b c (Å): 5.7897 8.5354 8.7121
angles (deg): 90.00 108.39 90.00
Positions (direct):
Cs 0.1881 0.2500 0.3953
Cs 0.8119 0.7500 0.6047
Ca 0.4912 0.2500 0.9787
Ca 0.5088 0.7500 0.0213
Br 0.0178 0.7500 0.0397
Br 0.3832 0.5167 0.7537
Br 0.3832 0.9833 0.7537
Br 0.6168 0.0167 0.2463
Br 0.6168 0.4833 0.2463
Br 0.9822 0.2500 0.9603

VASP calculation (GGA-PBE) on crystalline CsCaBr3 at its relaxed geometry.

* energy: -35.02 eV per cell

a b c (Å): 4.7044 7.5260 10.4696
angles (deg): 90.00 90.00 90.00
Positions (direct):
Cs 0.2500 0.2500 0.1366
Cs 0.7500 0.7500 0.8634
Ca 0.2500 0.7500 0.4007
Ca 0.7500 0.2500 0.5993
Br 0.2500 0.5030 0.6343
Br 0.2500 0.7500 0.1228
Br 0.2500 0.9970 0.6343
Br 0.7500 0.0030 0.3657
Br 0.7500 0.2500 0.8772
Br 0.7500 0.4970 0.3657

VASP calculation (GGA-PBE) on crystalline Cs2CaBr at its relaxed geometry.

* energy: -14.92 eV per cell
* relative energy among the computed polymorphs: 0.0 meV per atom

a b c (Å): 9.0362 9.0362 9.0362
angles (deg): 105.02 105.02 118.80
Positions (direct):
Cs 0.0428 0.6250 0.9178
Cs 0.3750 0.2928 0.4178
Cs 0.7072 0.1250 0.0822
Cs 0.8750 0.9572 0.5822
Ca 0.2500 0.7500 0.5000
Ca 0.5000 0.5000 0.0000
Br 0.0000 0.0000 0.0000
Br 0.7500 0.2500 0.5000